! Dy2TeRh GGA-PBE optimized geometry; values from VASP
&SYSTEM
  ibrav = 0, nat = 12, ntyp = 3
/
ATOMIC_SPECIES
Dy 162.50 Dy.upf
Te 127.60 Te.upf
Rh 102.91 Rh.upf
ATOMIC_POSITIONS angstrom
Dy 0.0000 0.0000 5.1599
Dy 0.0000 0.0000 16.6592
Dy 0.0000 2.3655 9.3862
Dy 0.0000 2.3655 19.7060
Dy 2.0486 1.1827 2.1132
Dy 2.0486 1.1827 12.4329
Te 0.0000 0.0000 0.0000
Te 0.0000 2.3655 14.5461
Te 2.0486 1.1827 7.2730
Rh 0.0000 0.0000 10.9096
Rh 0.0000 2.3655 3.6365
Rh 2.0486 1.1827 18.1826
CELL_PARAMETERS angstrom
4.0971 0.0000 0.0000
-2.0486 3.5482 0.0000
0.0000 0.0000 21.8191
! offset from the most stable computed form = 0.000 eV/atom
! size of the total moment = 0.00 μB/cell
! raw formation energy = -4.11 eV per formula unit